No. 1
A geometry-optimized Mg2CdPd8 structure. Source: the Alexandria database, functional PBE-GGA.

The value obtained for the total moment is 0.0 Bohr magnetons per cell. Its total energy is -4.49 eV/atom.

It has space group Immm (No. 71), with a = 4.269 Å, b = 6.840 Å, c = 12.355 Å, α = 90.00°, β = 90.00° and γ = 90.00°. The asymmetric unit holds Mg at (0.000, 0.000, 0.198), Cd at (0.000, 0.000, 0.500), Pd at (0.000, 0.199, 0.000), Pd at (0.000, 0.286, 0.346) and Pd at (0.000, 0.500, 0.154).

***

No. 2
A geometry-optimized La2LuAg structure. Source: the Alexandria database, functional PBE-GGA.

The value obtained for the total moment is 0.0 Bohr magnetons per cell. Its total energy is -4.13 eV/atom.

It has space group R-3m (No. 166, hexagonal axes), with a = 3.4332 Å, b = 3.4332 Å, c = 35.5673 Å, α = 90.00°, β = 90.00° and γ = 120.00°. The asymmetric unit holds La at (0.0000, 0.0000, 0.0933), Lu at (0.0000, 0.0000, 0.0000) and Ag at (0.0000, 0.0000, 0.5000).

***

What is the total moment in the first record?
0.0 Bohr magnetons per cell

***

Look up the total moment of the second one.
0.0 Bohr magnetons per cell